[1]
Compound: In3Pb13
Source: Alexandria
Functional: GGA-PBE
Structure: relaxed

Magnetization = 0.0 μB/f.u.
ΔE_f = 7 meV per atom
Fermi-level density of states = 7.3 states/eV/f.u.
Mass density = 10.2 g/cm3

Cell and atoms, written as POSCAR:
```
In3Pb13
1.0
9.781 0.000 0.000
0.000 4.961 5.082
0.000 -4.961 5.082
In Pb
3 13
Direct
0.000 0.000 0.000
0.247 0.247 0.247
0.753 0.247 0.247
0.000 0.001 0.496
0.000 0.496 0.001
0.000 0.497 0.497
0.248 0.245 0.749
0.248 0.749 0.245
0.250 0.748 0.748
0.500 0.000 0.000
0.500 0.003 0.493
0.500 0.493 0.003
0.500 0.495 0.495
0.750 0.748 0.748
0.752 0.245 0.749
0.752 0.749 0.245
```

[2]
Compound: Zr4Cr5
Source: Alexandria
Functional: GGA-PBE
Structure: relaxed

Magnetization = 12.0 μB/f.u.
ΔE_f = 412 meV per atom
Fermi-level density of states = 9.3 states/eV/f.u.
Mass density = 6.5 g/cm3
Energy above the lowest structure with this stoichiometry = 84 meV per atom

Cell and atoms, written as POSCAR:
```
Zr4Cr5
1.0
8.019 0.000 0.000
-4.009 6.944 0.000
0.000 0.000 5.730
Zr Cr
8 10
Direct
0.000 0.000 0.000
0.000 0.000 0.500
0.000 0.362 0.250
0.000 0.638 0.750
0.362 0.000 0.250
0.362 0.362 0.750
0.638 0.000 0.750
0.638 0.638 0.250
0.000 0.318 0.750
0.000 0.682 0.250
0.318 0.000 0.750
0.318 0.318 0.250
0.333 0.667 0.000
0.333 0.667 0.500
0.667 0.333 0.000
0.667 0.333 0.500
0.682 0.000 0.250
0.682 0.682 0.750
```

[3]
Compound: UNiPdRu
Source: Alexandria
Functional: GGA-PBE
Structure: relaxed

Magnetization = 0.0 μB/f.u.
ΔE_f = -409 meV per atom
Fermi-level density of states = 1.6 states/eV/f.u.
Mass density = 13.3 g/cm3
Energy above the lowest structure with this stoichiometry = 0 meV per atom

Cell and atoms, written as POSCAR:
```
UNiPdRu
1.0
3.818 0.000 0.000
0.000 3.902 0.000
0.000 0.000 4.228
U Ni Pd Ru
1 1 1 1
Direct
0.000 0.000 0.000
0.500 0.000 0.500
0.000 0.500 0.500
0.500 0.500 0.000
```

[4]
Compound: CaDy6Se8
Source: Alexandria
Functional: GGA-PBE
Structure: relaxed

Magnetization = 0.0 μB/f.u.
Fermi-level density of states = 4.2 states/eV/f.u.
Mass density = 7.2 g/cm3
Raw formation energy = -1.85 eV per atom

Cell and atoms, written as POSCAR:
```
CaDy6Se8
1.0
0.000 5.758 5.758
5.758 0.000 5.758
5.758 5.758 0.000
Ca Dy Se
1 6 8
Direct
0.000 0.000 0.000
0.000 0.000 0.500
0.000 0.500 0.000
0.000 0.500 0.500
0.500 0.000 0.000
0.500 0.000 0.500
0.500 0.500 0.000
0.250 0.250 0.250
0.254 0.254 0.746
0.254 0.746 0.254
0.254 0.746 0.746
0.746 0.254 0.254
0.746 0.254 0.746
0.746 0.746 0.254
0.750 0.750 0.750
```

[5]
Compound: Th3TcGe4
Source: Alexandria
Functional: GGA-PBE
Structure: relaxed

Magnetization = 0.0 μB/f.u.
ΔE_f = -509 meV per atom
Fermi-level density of states = 6.0 states/eV/f.u.
Mass density = 10.0 g/cm3

Cell and atoms, written as POSCAR:
```
Th3TcGe4
1.0
10.082 -2.266 0.000
10.082 2.266 0.000
-0.005 0.000 3.960
Th Tc Ge
3 1 4
Direct
0.000 0.000 0.000
0.157 0.157 0.500
0.843 0.843 0.500
0.500 0.500 0.500
0.278 0.278 0.000
0.405 0.405 0.000
0.595 0.595 0.000
0.722 0.722 0.000
```

[6]
Compound: AlCl
Source: Alexandria
Functional: GGA-PBE
Structure: relaxed

Magnetization = 0.0 μB/f.u.
Fermi-level density of states = 0.8 states/eV/f.u.
Mass density = 1.8 g/cm3
Raw formation energy = -0.71 eV per atom

Cell and atoms, written as POSCAR:
```
AlCl
1.0
-5.878 5.878 1.627
5.878 -5.878 1.627
5.878 5.878 -1.627
Al Cl
4 4
Direct
0.048 0.148 0.196
0.148 0.952 0.101
0.852 0.048 0.899
0.952 0.852 0.804
0.215 0.591 0.806
0.409 0.215 0.624
0.591 0.785 0.376
0.785 0.409 0.194
```

[7]
Compound: SiSbP
Source: Alexandria
Functional: GGA-PBE
Structure: relaxed

Magnetization = 0.0 μB/f.u.
Fermi-level density of states = 2.0 states/eV/f.u.
Mass density = 4.9 g/cm3
Raw formation energy = 0.50 eV per atom
Energy above the lowest structure with this stoichiometry = 427 meV per atom

Cell and atoms, written as POSCAR:
```
SiSbP
1.0
0.000 2.873 5.995
1.789 0.000 5.995
1.789 2.873 0.000
Si Sb P
1 1 1
Direct
0.000 0.000 0.000
0.314 0.314 0.686
0.620 0.620 0.380
```

[8]
Compound: ReHg2Pb
Source: Alexandria
Functional: GGA-PBE
Structure: relaxed

Magnetization = 0.0 μB/f.u.
ΔE_f = 720 meV per atom
Fermi-level density of states = 2.7 states/eV/f.u.
Mass density = 14.0 g/cm3

Cell and atoms, written as POSCAR:
```
ReHg2Pb
1.0
1.612 -2.518 0.000
1.612 2.518 0.000
0.000 0.000 11.588
Re Hg Pb
1 2 1
Direct
0.000 0.000 0.000
0.000 0.000 0.523
0.500 0.500 0.789
0.500 0.500 0.209
```

[9]
Compound: MgGe2Pt2
Source: Alexandria
Functional: GGA-PBE
Structure: relaxed

Magnetization = 0.0 μB/f.u.
ΔE_f = -270 meV per atom
Fermi-level density of states = 2.0 states/eV/f.u.
Mass density = 10.7 g/cm3

Cell and atoms, written as POSCAR:
```
MgGe2Pt2
1.0
7.519 0.000 0.000
0.000 7.519 0.000
0.000 0.000 3.061
Mg Ge Pt
2 4 4
Direct
0.000 0.000 0.000
0.500 0.500 0.000
0.132 0.368 0.000
0.368 0.868 0.000
0.632 0.132 0.000
0.868 0.632 0.000
0.170 0.670 0.500
0.330 0.170 0.500
0.670 0.830 0.500
0.830 0.330 0.500
```

[10]
Compound: Ta2GeB2Ru5
Source: Alexandria
Functional: GGA-PBE
Structure: relaxed

Magnetization = 0.0 μB/f.u.
ΔE_f = -544 meV per atom
Fermi-level density of states = 3.5 states/eV/f.u.
Mass density = 12.3 g/cm3

Cell and atoms, written as POSCAR:
```
Ta2GeB2Ru5
1.0
9.336 0.000 0.000
0.000 9.336 0.000
0.000 0.000 2.980
Ta Ge B Ru
4 2 4 10
Direct
0.176 0.324 0.000
0.324 0.824 0.000
0.676 0.176 0.000
0.824 0.676 0.000
0.000 0.000 0.000
0.500 0.500 0.000
0.124 0.624 0.000
0.376 0.124 0.000
0.624 0.876 0.000
0.876 0.376 0.000
0.000 0.500 0.500
0.069 0.786 0.500
0.214 0.069 0.500
0.286 0.569 0.500
0.431 0.286 0.500
0.500 0.000 0.500
0.569 0.714 0.500
0.714 0.431 0.500
0.786 0.931 0.500
0.931 0.214 0.500
```

[11]
Compound: Ce3Tl4Pb2
Source: Alexandria
Functional: GGA-PBE
Structure: relaxed

Magnetization = 3.6 μB/f.u.
ΔE_f = -172 meV per atom
Fermi-level density of states = 24.7 states/eV/f.u.
Mass density = 10.0 g/cm3

Cell and atoms, written as POSCAR:
```
Ce3Tl4Pb2
1.0
8.347 0.000 0.000
-4.174 7.229 0.000
0.000 0.000 4.541
Ce Tl Pb
3 4 2
Direct
0.000 0.388 0.000
0.388 0.000 0.000
0.612 0.612 0.000
0.000 0.000 0.000
0.000 0.738 0.500
0.262 0.262 0.500
0.738 0.000 0.500
0.333 0.667 0.500
0.667 0.333 0.500
```

[12]
Compound: CaTlRh2
Source: Alexandria
Functional: GGA-PBE
Structure: relaxed

Magnetization = 0.0 μB/f.u.
ΔE_f = -134 meV per atom
Fermi-level density of states = 3.7 states/eV/f.u.
Mass density = 9.7 g/cm3

Cell and atoms, written as POSCAR:
```
CaTlRh2
1.0
-1.621 2.311 5.117
1.621 -2.311 5.117
1.621 2.311 -5.117
Ca Tl Rh
1 1 2
Direct
0.000 0.000 0.000
0.720 0.220 0.500
0.267 0.767 0.500
0.485 0.485 0.000
```